Material: CaCrF3
Method: DFT, GGA+U
State: optimized geometry

excess energy over the best structure of this formula in the dataset = 1.37 eV/f.u.
density of states at the Fermi level = 0.3776 states/eV per atom
symmetry = Pm-3m
total moment = 4.55 μB per formula unit

Cell lengths 4.2915, 4.2915, 4.2915 Å; angles 90.00, 90.00, 90.00 degrees
Element x y z (fractional)
Ca1 0.0000 0.0000 0.0000
Cr1 0.5000 0.5000 0.5000
F1 0.0000 0.5000 0.5000
F2 0.5000 0.0000 0.5000
F3 0.5000 0.5000 0.0000